This record from Alexandria describes crystalline Sm2YHg at its relaxed geometry. The functional is PBE.

Cell and atoms, written as POSCAR:
```
Sm2YHg
1.0
-4.0627 2.9034 -2.2438
-1.5602 -1.0026 -5.1508
-4.8362 -2.3663 -0.9837
Hg Y Sm
1 1 2
Direct
0.7499 0.7499 0.7502
0.5000 0.5000 0.4999
0.0000 0.0000 0.9999
0.2500 0.2500 0.2499
```

Properties
Final energy = -4.097 eV/atom
Crystal system = cubic
Calculated volume = 28.99 A^3/atom
Energy above the most stable polymorph in this dataset = 72 kJ/mol of formula units
Size of the total moment = 0.22 μB per cell
Formation enthalpy at 0 K = -0.046 eV/atom